# 1
Computed, not measured: a relaxed NaAcAgHg crystal at the PBE level of DFT.

Geometry as CIF:
```
data_NaAcAgHg
_chemical_formula_sum 'Na4 Ac4 Ag4 Hg4'
_cell_length_a 7.6946
_cell_length_b 7.6946
_cell_length_c 7.6946
_cell_angle_alpha 90.00
_cell_angle_beta 90.00
_cell_angle_gamma 90.00
_space_group_name_H-M_alt 'F -4 3 m'
_space_group_IT_number 216
_space_group_name_Hall 'F -4 2 3'
loop_
_atom_site_label
_atom_site_type_symbol
_atom_site_fract_x
_atom_site_fract_y
_atom_site_fract_z
_atom_site_occupancy
Na1 Na 0.0000 0.0000 0.0000 1
Ac1 Ac 0.0000 0.0000 0.5000 1
Ag1 Ag 0.2500 0.2500 0.7500 1
Hg1 Hg 0.2500 0.2500 0.2500 1
```

Summary:
Final energy   -2.39 eV per atom
ΔE_f   -0.248 eV per atom
Total magnetic moment   0.00 μB/cell
DOS(E_F)   12.551 states/eV per cell

=====

# 2
Computed, not measured: a relaxed AcNdAgHg crystal at the PBE level of DFT.

Geometry as CIF:
```
data_AcNdAgHg
_chemical_formula_sum 'Ac4 Nd4 Ag4 Hg4'
_cell_length_a 7.8155
_cell_length_b 7.8155
_cell_length_c 7.8155
_cell_angle_alpha 90.00
_cell_angle_beta 90.00
_cell_angle_gamma 90.00
_space_group_name_H-M_alt 'F -4 3 m'
_space_group_IT_number 216
_space_group_name_Hall 'F -4 2 3'
loop_
_atom_site_label
_atom_site_type_symbol
_atom_site_fract_x
_atom_site_fract_y
_atom_site_fract_z
_atom_site_occupancy
Ac1 Ac 0.0000 0.0000 0.0000 1
Nd1 Nd 0.0000 0.0000 0.5000 1
Ag1 Ag 0.2500 0.2500 0.2500 1
Hg1 Hg 0.2500 0.2500 0.7500 1
```

Summary:
Final energy   -3.36 eV per atom
ΔE_f   -0.349 eV per atom
E above lowest polymorph   10 meV/atom
Total magnetic moment   0.05 μB/cell
DOS(E_F)   13.581 states/eV per cell

=====

# 3
Computed, not measured: a relaxed AcNd2Ag2Hg2 crystal at the PBE level of DFT.

Geometry as CIF:
```
data_AcNd2Ag2Hg2
_chemical_formula_sum 'Ac3 Nd6 Ag6 Hg6'
_cell_length_a 4.9560
_cell_length_b 4.9560
_cell_length_c 28.3111
_cell_angle_alpha 90.00
_cell_angle_beta 90.00
_cell_angle_gamma 120.00
_space_group_name_H-M_alt 'R -3 m'
_space_group_IT_number 166
_space_group_name_Hall '-R 3 2"'
loop_
_atom_site_label
_atom_site_type_symbol
_atom_site_fract_x
_atom_site_fract_y
_atom_site_fract_z
_atom_site_occupancy
Ac1 Ac 0.0000 0.0000 0.0000 1
Nd1 Nd 0.0000 0.0000 0.1266 1
Ag1 Ag 0.0000 0.0000 0.4070 1
Hg1 Hg 0.0000 0.0000 0.2545 1
```

Summary:
Final energy   -3.13 eV per atom
ΔE_f   -0.284 eV per atom
Total magnetic moment   0.00 μB/cell
DOS(E_F)   18.094 states/eV per cell

=====

# 4
Computed, not measured: a relaxed AcNdAgHg crystal at the PBE level of DFT.

Geometry as CIF:
```
data_AcNdAgHg
_chemical_formula_sum 'Ac1 Nd1 Ag1 Hg1'
_cell_length_a 3.8924
_cell_length_b 3.8924
_cell_length_c 7.8337
_cell_angle_alpha 90.00
_cell_angle_beta 90.00
_cell_angle_gamma 90.00
_space_group_name_H-M_alt 'P 4 m m'
_space_group_IT_number 99
_space_group_name_Hall 'P 4 -2'
loop_
_atom_site_label
_atom_site_type_symbol
_atom_site_fract_x
_atom_site_fract_y
_atom_site_fract_z
_atom_site_occupancy
Ac1 Ac 0.0000 0.0000 0.0000 1
Nd1 Nd 0.0000 0.0000 0.4888 1
Ag1 Ag 0.5000 0.5000 0.2667 1
Hg1 Hg 0.5000 0.5000 0.7239 1
```

Summary:
Final energy   -3.37 eV per atom
ΔE_f   -0.359 eV per atom
E above lowest polymorph   0 meV/atom
Total magnetic moment   0.00 μB/cell
DOS(E_F)   3.570 states/eV per cell

=====

# 5
Computed, not measured: a relaxed Ac2NiAgHg crystal at the PBE level of DFT.

Geometry as CIF:
```
data_Ac2NiAgHg
_chemical_formula_sum 'Ac4 Ni2 Ag2 Hg2'
_cell_length_a 8.4840
_cell_length_b 4.2386
_cell_length_c 8.5827
_cell_angle_alpha 90.00
_cell_angle_beta 115.11
_cell_angle_gamma 90.00
_space_group_name_H-M_alt 'P 1 21/m 1'
_space_group_IT_number 11
_space_group_name_Hall '-P 2yb'
loop_
_atom_site_label
_atom_site_type_symbol
_atom_site_fract_x
_atom_site_fract_y
_atom_site_fract_z
_atom_site_occupancy
Ac1 Ac 0.1281 0.2500 0.3476 1
Ac2 Ac 0.2900 0.2500 0.9913 1
Ni1 Ni 0.0821 0.7500 0.0736 1
Ag1 Ag 0.4375 0.7500 0.3465 1
Hg1 Hg 0.3079 0.7500 0.6810 1
```

Summary:
Final energy   -3.77 eV per atom
ΔE_f   -0.340 eV per atom
Total magnetic moment   0.00 μB/cell
DOS(E_F)   7.784 states/eV per cell

=====

# 6
Computed, not measured: a relaxed AcAg2HgO4 crystal at the PBE level of DFT.

Geometry as CIF:
```
data_AcAg2HgO4
_chemical_formula_sum 'Ac2 Ag4 Hg2 O8'
_cell_length_a 6.1783
_cell_length_b 6.1783
_cell_length_c 6.7189
_cell_angle_alpha 90.00
_cell_angle_beta 90.00
_cell_angle_gamma 90.00
_space_group_name_H-M_alt 'I -4 2 m'
_space_group_IT_number 121
_space_group_name_Hall 'I -4 2'
loop_
_atom_site_label
_atom_site_type_symbol
_atom_site_fract_x
_atom_site_fract_y
_atom_site_fract_z
_atom_site_occupancy
Ac1 Ac 0.0000 0.0000 0.0000 1
Ag1 Ag 0.0000 0.5000 0.2500 1
Hg1 Hg 0.0000 0.0000 0.5000 1
O1 O 0.2052 0.2052 0.2726 1
```

Summary:
Final energy   -4.81 eV per atom
Raw formation energy   -1.0623 eV/atom
Total magnetic moment   0.00 μB/cell
DOS(E_F)   5.163 states/eV per cell

=====

# 7
Computed, not measured: a relaxed Ac2Ag2HgO6 crystal at the PBE level of DFT.

Geometry as CIF:
```
data_Ac2Ag2HgO6
_chemical_formula_sum 'Ac6 Ag6 Hg3 O18'
_cell_length_a 6.3617
_cell_length_b 6.3617
_cell_length_c 16.8082
_cell_angle_alpha 90.00
_cell_angle_beta 90.00
_cell_angle_gamma 120.00
_space_group_name_H-M_alt 'R -3 m'
_space_group_IT_number 166
_space_group_name_Hall '-R 3 2"'
loop_
_atom_site_label
_atom_site_type_symbol
_atom_site_fract_x
_atom_site_fract_y
_atom_site_fract_z
_atom_site_occupancy
Ac1 Ac 0.0000 0.0000 0.2068 1
Ag1 Ag 0.0000 0.0000 0.4144 1
Hg1 Hg 0.0000 0.0000 0.0000 1
O1 O 0.0472 0.5236 0.7654 1
```

Summary:
Final energy   -5.20 eV per atom
Raw formation energy   -1.2022 eV/atom
Total magnetic moment   0.01 μB/cell
DOS(E_F)   22.024 states/eV per cell

=====

# 8
Computed, not measured: a relaxed Ac2AgHgO6 crystal at the PBE level of DFT.

Geometry as CIF:
```
data_Ac2AgHgO6
_chemical_formula_sum 'Ac2 Ag1 Hg1 O6'
_cell_length_a 5.9315
_cell_length_b 5.9315
_cell_length_c 4.5688
_cell_angle_alpha 90.00
_cell_angle_beta 90.00
_cell_angle_gamma 90.00
_space_group_name_H-M_alt 'P 4 m m'
_space_group_IT_number 99
_space_group_name_Hall 'P 4 -2'
loop_
_atom_site_label
_atom_site_type_symbol
_atom_site_fract_x
_atom_site_fract_y
_atom_site_fract_z
_atom_site_occupancy
Ac1 Ac 0.0000 0.5000 0.0000 1
Ag1 Ag 0.0000 0.0000 0.6243 1
Hg1 Hg 0.5000 0.5000 0.5381 1
O1 O 0.0000 0.0000 0.1295 1
O2 O 0.2405 0.2405 0.6756 1
O3 O 0.5000 0.5000 0.0639 1
```

Summary:
Final energy   -5.66 eV per atom
Raw formation energy   -1.5456 eV/atom
Total magnetic moment   0.00 μB/cell
DOS(E_F)   1.605 states/eV per cell

=====

Repeat the sixth record exactly.
Computed, not measured: a relaxed AcAg2HgO4 crystal at the PBE level of DFT.

Geometry as CIF:
```
data_AcAg2HgO4
_chemical_formula_sum 'Ac2 Ag4 Hg2 O8'
_cell_length_a 6.1783
_cell_length_b 6.1783
_cell_length_c 6.7189
_cell_angle_alpha 90.00
_cell_angle_beta 90.00
_cell_angle_gamma 90.00
_space_group_name_H-M_alt 'I -4 2 m'
_space_group_IT_number 121
_space_group_name_Hall 'I -4 2'
loop_
_atom_site_label
_atom_site_type_symbol
_atom_site_fract_x
_atom_site_fract_y
_atom_site_fract_z
_atom_site_occupancy
Ac1 Ac 0.0000 0.0000 0.0000 1
Ag1 Ag 0.0000 0.5000 0.2500 1
Hg1 Hg 0.0000 0.0000 0.5000 1
O1 O 0.2052 0.2052 0.2726 1
```

Summary:
Final energy   -4.81 eV per atom
Raw formation energy   -1.0623 eV/atom
Total magnetic moment   0.00 μB/cell
DOS(E_F)   5.163 states/eV per cell